P.
PaP2Ru4: optimized geometry, GGA-PBE.

CIF file:
```
data_PaP2Ru4
_cell_length_a 16.2389
_cell_length_b 3.9480
_cell_length_c 6.5657
_cell_angle_alpha 90.00
_cell_angle_beta 90.00
_cell_angle_gamma 90.00
_symmetry_space_group_name_H-M 'P n m a'
_symmetry_Int_Tables_number 62
loop_
_symmetry_equiv_pos_as_xyz
'x,y,z'
'-x,-y,-z'
'-x+1/2,-y,z+1/2'
'x+1/2,y,-z+1/2'
'x+1/2,-y+1/2,-z+1/2'
'-x+1/2,y+1/2,z+1/2'
'-x,y+1/2,-z'
'x,-y+1/2,z'
loop_
_atom_site_label
_atom_site_type_symbol
_atom_site_fract_x
_atom_site_fract_y
_atom_site_fract_z
_atom_site_occupancy
Pa1 Pa 0.1364 0.2500 0.0144 1
P1 P 0.0424 0.7500 0.2671 1
P2 P 0.2242 0.2500 0.5254 1
Ru1 Ru 0.0279 0.7500 0.8430 1
Ru2 Ru 0.0773 0.2500 0.5269 1
Ru3 Ru 0.1862 0.7500 0.3185 1
Ru4 Ru 0.1896 0.7500 0.7296 1
```



Q.
PaP2Ru4: optimized geometry, GGA-PBE.

CIF file:
```
data_PaP2Ru4
_cell_length_a 4.0679
_cell_length_b 13.0580
_cell_length_c 4.0494
_cell_angle_alpha 90.00
_cell_angle_beta 90.00
_cell_angle_gamma 90.00
_symmetry_space_group_name_H-M 'C m m m'
_symmetry_Int_Tables_number 65
_symmetry_space_group_name_Hall '-C 2 2'
loop_
_atom_site_label
_atom_site_type_symbol
_atom_site_fract_x
_atom_site_fract_y
_atom_site_fract_z
_atom_site_occupancy
Pa1 Pa 0.0000 0.0000 0.0000 1
P1 P 0.0000 0.4107 0.5000 1
Ru1 Ru 0.0000 0.1750 0.5000 1
Ru2 Ru 0.0000 0.3242 0.0000 1
```



Which one is most stable, and which one is least stable? P is the most stable of them, while Q is the least stable.



P.
PaPS: optimized geometry, GGA-PBE.

CIF file:
```
data_PaPS
_cell_length_a 3.6532
_cell_length_b 3.6532
_cell_length_c 8.5495
_cell_angle_alpha 90.00
_cell_angle_beta 90.00
_cell_angle_gamma 90.00
_symmetry_space_group_name_H-M 'I 4 m m'
_symmetry_Int_Tables_number 107
_symmetry_space_group_name_Hall 'I 4 -2'
loop_
_atom_site_label
_atom_site_type_symbol
_atom_site_fract_x
_atom_site_fract_y
_atom_site_fract_z
_atom_site_occupancy
Pa1 Pa 0.0000 0.0000 0.0000 1
P1 P 0.0000 0.0000 0.3509 1
S1 S 0.0000 0.0000 0.6513 1
```



Q.
PaPS: optimized geometry, GGA-PBE.

CIF file:
```
data_PaPS
_cell_length_a 4.1240
_cell_length_b 4.1240
_cell_length_c 6.3130
_cell_angle_alpha 90.00
_cell_angle_beta 90.00
_cell_angle_gamma 120.00
_symmetry_space_group_name_H-M 'P 3 m 1'
_symmetry_Int_Tables_number 156
loop_
_symmetry_equiv_pos_as_xyz
'x,y,z'
'-y,x-y,z'
'-x+y,-x,z'
'-y,-x,z'
'-x+y,y,z'
'x,x-y,z'
loop_
_atom_site_label
_atom_site_type_symbol
_atom_site_fract_x
_atom_site_fract_y
_atom_site_fract_z
_atom_site_occupancy
Pa1 Pa 0.0000 0.0000 0.0000 1
P1 P 0.3333 0.6667 0.7990 1
S1 S 0.6667 0.3333 0.2085 1
```



Which one is most stable, and which one is least stable? P is the most stable of them, while Q is the least stable.



P.
Pa2PS: optimized geometry, GGA-PBE.

CIF file:
```
data_Pa2PS
_cell_length_a 4.0020
_cell_length_b 4.0020
_cell_length_c 18.5809
_cell_angle_alpha 90.00
_cell_angle_beta 90.00
_cell_angle_gamma 120.00
_symmetry_space_group_name_H-M 'R -3 m'
_symmetry_Int_Tables_number 166
_symmetry_space_group_name_Hall '-R 3 2"'
loop_
_atom_site_label
_atom_site_type_symbol
_atom_site_fract_x
_atom_site_fract_y
_atom_site_fract_z
_atom_site_occupancy
Pa1 Pa 0.0000 0.0000 0.2490 1
P1 P 0.0000 0.0000 0.0000 1
S1 S 0.0000 0.0000 0.5000 1
```



Q.
Pa2PS: optimized geometry, GGA-PBE.

CIF file:
```
data_Pa2PS
_cell_length_a 3.3979
_cell_length_b 3.3979
_cell_length_c 6.8108
_cell_angle_alpha 90.00
_cell_angle_beta 90.00
_cell_angle_gamma 90.00
_symmetry_space_group_name_H-M 'P 4/m m m'
_symmetry_Int_Tables_number 123
_symmetry_space_group_name_Hall '-P 4 2'
loop_
_atom_site_label
_atom_site_type_symbol
_atom_site_fract_x
_atom_site_fract_y
_atom_site_fract_z
_atom_site_occupancy
Pa1 Pa 0.0000 0.0000 0.2451 1
P1 P 0.5000 0.5000 0.0000 1
S1 S 0.5000 0.5000 0.5000 1
```



R.
Pa2PS: optimized geometry, GGA-PBE.

CIF file:
```
data_Pa2PS
_cell_length_a 7.0705
_cell_length_b 7.0705
_cell_length_c 3.6082
_cell_angle_alpha 90.00
_cell_angle_beta 90.00
_cell_angle_gamma 90.00
_symmetry_space_group_name_H-M 'P -4 21 m'
_symmetry_Int_Tables_number 113
loop_
_symmetry_equiv_pos_as_xyz
'x,y,z'
'y,-x,-z'
'-x,-y,z'
'-y,x,-z'
'x+1/2,-y+1/2,-z'
'y+1/2,x+1/2,z'
'-x+1/2,y+1/2,-z'
'-y+1/2,-x+1/2,z'
loop_
_atom_site_label
_atom_site_type_symbol
_atom_site_fract_x
_atom_site_fract_y
_atom_site_fract_z
_atom_site_occupancy
Pa1 Pa 0.2118 0.2882 0.2562 1
P1 P 0.0000 0.5000 0.7529 1
S1 S 0.0000 0.0000 0.5000 1
```



S.
Pa2PS: optimized geometry, GGA-PBE.

CIF file:
```
data_Pa2PS
_cell_length_a 3.7268
_cell_length_b 3.7268
_cell_length_c 21.7043
_cell_angle_alpha 90.00
_cell_angle_beta 90.00
_cell_angle_gamma 120.00
_symmetry_space_group_name_H-M 'R 3 m'
_symmetry_Int_Tables_number 160
_symmetry_space_group_name_Hall 'R 3 -2"'
loop_
_atom_site_label
_atom_site_type_symbol
_atom_site_fract_x
_atom_site_fract_y
_atom_site_fract_z
_atom_site_occupancy
Pa1 Pa 0.0000 0.0000 0.0000 1
Pa2 Pa 0.0000 0.0000 0.1743 1
P1 P 0.0000 0.0000 0.5877 1
S1 S 0.0000 0.0000 0.4196 1
```



Which one is most stable, and which one is least stable? P is the most stable of them, while R is the least stable.



P.
Pa2PS: optimized geometry, GGA-PBE.

CIF file:
```
data_Pa2PS
_cell_length_a 3.6108
_cell_length_b 7.6655
_cell_length_c 6.2403
_cell_angle_alpha 90.00
_cell_angle_beta 90.00
_cell_angle_gamma 90.00
_symmetry_space_group_name_H-M 'P m m n'
_symmetry_Int_Tables_number 59
loop_
_symmetry_equiv_pos_as_xyz
'x,y,z'
'-x,-y,-z'
'-x+1/2,-y+1/2,z'
'x+1/2,y+1/2,-z'
'x+1/2,-y,-z'
'-x+1/2,y,z'
'-x,y+1/2,-z'
'x,-y+1/2,z'
loop_
_atom_site_label
_atom_site_type_symbol
_atom_site_fract_x
_atom_site_fract_y
_atom_site_fract_z
_atom_site_occupancy
Pa1 Pa 0.2500 0.0012 0.2494 1
P1 P 0.2500 0.7500 0.5837 1
S1 S 0.2500 0.2500 0.9161 1
```



Q.
Pa2PS: optimized geometry, GGA-PBE.

CIF file:
```
data_Pa2PS
_cell_length_a 6.7982
_cell_length_b 6.7982
_cell_length_c 6.7982
_cell_angle_alpha 90.00
_cell_angle_beta 90.00
_cell_angle_gamma 90.00
_symmetry_space_group_name_H-M 'F m -3 m'
_symmetry_Int_Tables_number 225
_symmetry_space_group_name_Hall '-F 4 2 3'
loop_
_atom_site_label
_atom_site_type_symbol
_atom_site_fract_x
_atom_site_fract_y
_atom_site_fract_z
_atom_site_occupancy
Pa1 Pa 0.2500 0.2500 0.2500 1
P1 P 0.0000 0.0000 0.0000 1
S1 S 0.0000 0.0000 0.5000 1
```



Which one is most stable, and which one is least stable? P is the most stable of them, while Q is the least stable.



P.
Pa2PS3: optimized geometry, GGA-PBE.

CIF file:
```
data_Pa2PS3
_cell_length_a 15.1119
_cell_length_b 4.2891
_cell_length_c 9.8157
_cell_angle_alpha 90.00
_cell_angle_beta 116.85
_cell_angle_gamma 90.00
_symmetry_space_group_name_H-M 'C 1 2/m 1'
_symmetry_Int_Tables_number 12
loop_
_symmetry_equiv_pos_as_xyz
'x,y,z'
'-x,-y,-z'
'-x,y,-z'
'x,-y,z'
'x+1/2,y+1/2,z'
'-x+1/2,-y+1/2,-z'
'-x+1/2,y+1/2,-z'
'x+1/2,-y+1/2,z'
loop_
_atom_site_label
_atom_site_type_symbol
_atom_site_fract_x
_atom_site_fract_y
_atom_site_fract_z
_atom_site_occupancy
Pa1 Pa 0.0068 0.0000 0.2433 1
Pa2 Pa 0.2251 0.5000 0.6659 1
P1 P 0.1514 0.5000 0.3510 1
S1 S 0.1049 0.0000 0.5798 1
S2 S 0.1144 0.5000 0.8271 1
S3 S 0.1145 0.0000 0.0745 1
```



Q.
Pa2PS3: optimized geometry, GGA-PBE.

CIF file:
```
data_Pa2PS3
_cell_length_a 15.6512
_cell_length_b 4.2178
_cell_length_c 10.5551
_cell_angle_alpha 90.00
_cell_angle_beta 116.86
_cell_angle_gamma 90.00
_symmetry_space_group_name_H-M 'C 1 2/m 1'
_symmetry_Int_Tables_number 12
loop_
_symmetry_equiv_pos_as_xyz
'x,y,z'
'-x,-y,-z'
'-x,y,-z'
'x,-y,z'
'x+1/2,y+1/2,z'
'-x+1/2,-y+1/2,-z'
'-x+1/2,y+1/2,-z'
'x+1/2,-y+1/2,z'
loop_
_atom_site_label
_atom_site_type_symbol
_atom_site_fract_x
_atom_site_fract_y
_atom_site_fract_z
_atom_site_occupancy
Pa1 Pa 0.1179 0.0000 0.4303 1
Pa2 Pa 0.1433 0.5000 0.8254 1
P1 P 0.0748 0.0000 0.6520 1
S1 S 0.0496 0.5000 0.2447 1
S2 S 0.1648 0.0000 0.0050 1
S3 S 0.2221 0.5000 0.6139 1
```



Which one is most stable, and which one is least stable? Q is the most stable of them, while P is the least stable.